Entry from Alexandria: an optimized crystal structure of MgAs2Se (PBE).

For the energy relative to the elements, uncorrected, the calculation gives -0.56 eV per formula unit. The energy above the most stable polymorph in this dataset is 278 meV per atom.

Lattice parameters (Å, degrees): 3.6934 3.8781 12.4241 90.00 90.00 90.00
Space group Imm2 (No. 44)
Asymmetric unit:
Mg: 0.0000 0.0000 0.0000 x2
As: 0.0000 0.0000 0.5911 x2
As: 0.0000 0.5000 0.2308 x2
Se: 0.0000 0.5000 0.8540 x2

Entry from Alexandria: an optimized crystal structure of MgAs2Se (PBE).

For the energy relative to the elements, uncorrected, the calculation gives -0.68 eV per formula unit. The energy above the most stable polymorph in this dataset is 248 meV per atom.

Lattice parameters (Å, degrees): 4.8223 3.8680 5.0185 90.00 108.14 90.00
Space group P2/m (No. 10)
Asymmetric unit:
Mg: 0.0000 0.0000 0.0000 x1
As: 0.2948 0.5000 0.7830 x2
Se: 0.5000 0.0000 0.5000 x1

Entry from Alexandria: an optimized crystal structure of MgAs2Se (PBE).

For the energy relative to the elements, uncorrected, the calculation gives -1.67 eV per formula unit. The energy above the most stable polymorph in this dataset is 0 meV per atom.

Lattice parameters (Å, degrees): 3.8205 3.8944 5.6211 90.00 90.00 90.00
Space group Pmmm (No. 47)
Asymmetric unit:
Mg: 0.0000 0.0000 0.0000 x1
As: 0.0000 0.0000 0.5000 x1
As: 0.5000 0.5000 0.5000 x1
Se: 0.5000 0.5000 0.0000 x1

Entry from Alexandria: an optimized crystal structure of MgAs2Se (PBE).

For the energy relative to the elements, uncorrected, the calculation gives -0.66 eV per formula unit. The energy above the most stable polymorph in this dataset is 251 meV per atom.

Lattice parameters (Å, degrees): 3.6740 3.6740 8.4919 90.00 90.00 90.00
Space group P4/mmm (No. 123)
Asymmetric unit:
Mg: 0.0000 0.0000 0.0000 x1
As: 0.0000 0.5000 0.5000 x2
Se: 0.5000 0.5000 0.0000 x1

Entry from Alexandria: an optimized crystal structure of MgAsSe2 (PBE).

For the energy relative to the elements, uncorrected, the calculation gives -0.45 eV per formula unit. The energy above the most stable polymorph in this dataset is 420 meV per atom.

Lattice parameters (Å, degrees): 3.4197 3.4197 6.8136 90.00 90.00 90.00
Space group P4/mmm (No. 123)
Asymmetric unit:
Mg: 0.0000 0.0000 0.0000 x1
As: 0.0000 0.0000 0.5000 x1
Se: 0.5000 0.5000 0.2424 x2

Entry from Alexandria: an optimized crystal structure of Mg3AsSe (PBE).

For the energy relative to the elements, uncorrected, the calculation gives -1.34 eV per formula unit. The energy above the most stable polymorph in this dataset is 0 meV per atom.

Lattice parameters (Å, degrees): 5.0265 5.0265 5.0265 90.00 90.00 90.00
Space group Pm-3m (No. 221)
Asymmetric unit:
Mg: 0.0000 0.0000 0.5000 x3
As: 0.0000 0.0000 0.0000 x1
Se: 0.5000 0.5000 0.5000 x1